{
  "formula": "La3Nd8Er",
  "functional": "PBE",
  "state": "relaxed",
  "formation_enthalpy_0k_ev_per_atom": 0.26,
  "e_tot_ev_per_atom": -4.53,
  "sg": "Immm",
  "dos_at_fermi_per_ev_cell": 15.44,
  "lattice": [[7.3168, 0.4922, -5.0309], [-3.1347, 8.2162, -1.3253], [-1.7245, -0.4922, 8.7105]],
  "species": ["La", "Er", "Nd", "Nd", "Nd", "Nd", "La", "Nd", "Nd", "Nd", "Nd", "La"],
  "fractional_positions": [[0.5000, 0.7552, 0.2552], [0.0000, 0.0000, 0.0000], [0.9812, 0.2398, 0.7415], [0.8338, 0.0817, 0.2478], [0.5017, 0.7602, 0.7414], [0.8339, 0.5860, 0.7522], [0.0000, 0.5000, 0.5000], [0.0188, 0.7603, 0.2586], [0.1661, 0.9183, 0.7521], [0.4983, 0.2397, 0.2585], [0.1662, 0.4140, 0.2479], [0.5000, 0.2448, 0.7448]]
}

{
  "formula": "La2Nd6Er",
  "functional": "PBE",
  "state": "relaxed",
  "formation_enthalpy_0k_ev_per_atom": 0.06,
  "e_tot_ev_per_atom": -4.72,
  "sg": "P-6m2",
  "dos_at_fermi_per_ev_cell": 15.87,
  "relative_energy_ev_per_atom": 0.042,
  "lattice": [[3.6685, 0.0000, 0.0000], [-1.8343, 3.1770, 0.0000], [0.0000, 0.0000, 27.4064]],
  "species": ["Nd", "La", "Nd", "Nd", "La", "Nd", "Nd", "Nd", "Er"],
  "fractional_positions": [[0.6667, 0.3333, 0.8951], [0.6667, 0.3333, 0.6712], [0.3333, 0.6667, 0.2143], [0.3333, 0.6667, 0.5622], [0.6667, 0.3333, 0.3288], [0.3333, 0.6667, 0.7857], [0.3333, 0.6667, 0.4378], [0.6667, 0.3333, 0.1049], [0.3333, 0.6667, 0.0000]]
}

{
  "formula": "LaNd2Er",
  "functional": "PBE",
  "state": "relaxed",
  "formation_enthalpy_0k_ev_per_atom": 0.02,
  "e_tot_ev_per_atom": -4.74,
  "sg": "R-3m",
  "dos_at_fermi_per_ev_cell": 5.62,
  "relative_energy_ev_per_atom": 0.004,
  "lattice": [[-0.9461, -3.3850, -1.0041], [1.5826, -1.5541, -2.9055], [8.7379, -6.1160, 5.7316]],
  "species": ["Er", "Nd", "La", "Nd"],
  "fractional_positions": [[0.5000, 0.5000, 0.5000], [0.2475, 0.2475, 0.2574], [0.0000, 0.0000, 0.0000], [0.7525, 0.7525, 0.7426]]
}

{
  "formula": "La5Nd2Er2",
  "functional": "PBE",
  "state": "relaxed",
  "formation_enthalpy_0k_ev_per_atom": 0.20,
  "e_tot_ev_per_atom": -4.61,
  "sg": "Ima2",
  "dos_at_fermi_per_ev_cell": 29.04,
  "relative_energy_ev_per_atom": 0.180,
  "lattice": [[-10.2342, 5.8930, 3.9546], [1.9783, -0.8145, 6.3334], [7.8110, 4.0595, -5.4458]],
  "species": ["Er", "La", "La", "Nd", "Nd", "La", "La", "La", "La", "Er", "Er", "La", "Er", "Nd", "Nd", "La", "La", "La"],
  "fractional_positions": [[0.7715, 0.8093, 0.5000], [0.1766, 0.1811, 0.8917], [0.6427, 0.7378, 0.7121], [0.3974, 0.9099, 0.7620], [0.6026, 0.1480, 0.2380], [0.7848, 0.7894, 0.1083], [0.4305, 0.5257, 0.2879], [0.2152, 0.6811, 0.8917], [0.9532, 0.2206, 0.5000], [0.0000, 0.0143, 0.0000], [0.5000, 0.5143, 0.0000], [0.0468, 0.7206, 0.5000], [0.2285, 0.3093, 0.5000], [0.1354, 0.6480, 0.2380], [0.8646, 0.4099, 0.7620], [0.8234, 0.2894, 0.1083], [0.5695, 0.2378, 0.7121], [0.3573, 0.0257, 0.2879]]
}

{
  "formula": "La12NdEr6",
  "functional": "PBE",
  "state": "relaxed",
  "formation_enthalpy_0k_ev_per_atom": 0.22,
  "e_tot_ev_per_atom": -4.58,
  "sg": "R-3",
  "dos_at_fermi_per_ev_cell": 32.47,
  "lattice": [[-3.8724, 3.5197, -7.7256], [8.8221, -2.1514, -2.1473], [-4.3779, -8.0449, 1.7840]],
  "species": ["La", "La", "Er", "Er", "Nd", "Er", "Er", "La", "La", "La", "La", "La", "La", "Er", "Er", "La", "La", "La", "La"],
  "fractional_positions": [[0.1761, 0.7124, 0.8714], [0.8239, 0.2876, 0.1286], [0.0795, 0.1899, 0.4511], [0.8101, 0.5489, 0.9205], [0.0000, 0.0000, 0.0000], [0.5489, 0.9205, 0.8101], [0.1899, 0.4511, 0.0795], [0.1286, 0.8239, 0.2876], [0.5781, 0.4835, 0.1970], [0.4835, 0.1970, 0.5781], [0.7124, 0.8714, 0.1761], [0.8714, 0.1761, 0.7124], [0.5165, 0.8030, 0.4219], [0.4511, 0.0795, 0.1899], [0.9205, 0.8101, 0.5489], [0.1970, 0.5781, 0.4835], [0.2876, 0.1286, 0.8239], [0.8030, 0.4219, 0.5165], [0.4219, 0.5165, 0.8030]]
}

{
  "formula": "La2NdEr7",
  "functional": "PBE",
  "state": "relaxed",
  "formation_enthalpy_0k_ev_per_atom": 0.07,
  "e_tot_ev_per_atom": -4.59,
  "sg": "C2/m",
  "dos_at_fermi_per_ev_cell": 17.18,
  "relative_energy_ev_per_atom": 0.000,
  "lattice": [[5.1530, 1.5590, -0.8704], [2.8491, 7.5211, -3.8421], [-1.3030, 0.0506, 9.4494]],
  "species": ["Er", "Er", "Nd", "Er", "La", "Er", "Er", "Er", "La", "Er"],
  "fractional_positions": [[0.0016, 0.7999, 0.6023], [0.9984, 0.2001, 0.3977], [0.0000, 0.0000, 0.0000], [0.7492, 0.8567, 0.2113], [0.5003, 0.3017, 0.6051], [0.2498, 0.3561, 0.2111], [0.5000, 0.5000, 0.0000], [0.2508, 0.1433, 0.7887], [0.4997, 0.6983, 0.3949], [0.7502, 0.6439, 0.7889]]
}